A plane-wave DFT calculation with PBE-GGA was carried out for a relaxed structure of Y2Sn2F.

a = 6.841 Å, b = 6.841 Å, c = 5.102 Å
α = 90.00°, β = 90.00°, γ = 90.00°
Element x y z (fractional)
Y 0.171 0.329 0.000
Y 0.329 0.829 0.000
Y 0.671 0.171 0.000
Y 0.829 0.671 0.000
Sn 0.155 0.655 0.500
Sn 0.345 0.155 0.500
Sn 0.655 0.845 0.500
Sn 0.845 0.345 0.500
F 0.000 0.000 0.000
F 0.500 0.500 0.000

Results
For the formation energy from raw total energies, the calculation gives -1.35 eV per atom. As for the total energy: -5.908 eV per atom. As for the space group: P4/mbm.